Entry 1:
Crystalline SiPb2Se2 at its relaxed geometry. Source: Alexandria, functional PBE.

The structure in POSCAR format:
```
SiPb2Se2
1.0
7.6496 0.0000 0.0000
0.0000 7.6496 0.0000
0.0000 0.0000 4.5546
Pb Se Si
4 4 2
Cartesian
2.5871 1.2377 2.2773
1.2377 5.0625 2.2773
5.0625 6.4119 2.2773
6.4119 2.5871 2.2773
5.1168 1.2920 0.0000
6.3576 5.1168 0.0000
1.2920 2.5328 0.0000
2.5328 6.3576 0.0000
0.0000 0.0000 0.0000
3.8248 3.8248 0.0000
```

Values from the calculation:
Crystal system   tetragonal
SG   P4/mbm (127)
DOS at the Fermi energy   1.00 states/eV/cell
V   266.5 Å³ per cell
M_tot   0.00 μB/f.u.
Energy above the lowest structure with this stoichiometry   0 meV/atom
E_form (uncorrected)   0.021 eV/atom

---

Entry 2:
Crystalline SiPbSe2 at its relaxed geometry. Source: Alexandria, functional PBE.

The structure in POSCAR format:
```
SiPbSe2
1.0
-3.1537 2.1370 7.8757
-3.4826 -1.7960 7.8221
-0.0327 -0.1165 8.7478
Si Se Pb
1 2 1
Cartesian
-3.3790 0.1138 12.3856
-1.4649 0.0493 5.3698
-0.1445 0.0049 0.5296
-5.0152 0.1688 18.3834
```

Values from the calculation:
Crystal system   trigonal
SG   R3m (160)
V   114.0 Å³ per cell
M_tot   0.00 μB/f.u.
Energy above the lowest structure with this stoichiometry   83 meV/atom
E_form (uncorrected)   -0.147 eV/atom

---

Entry 3:
Crystalline SiPbSe2 at its relaxed geometry. Source: Alexandria, functional PBE.

The structure in POSCAR format:
```
SiPbSe2
1.0
-2.3235 7.8979 2.7002
-5.9803 5.8342 2.2946
-3.6487 5.3306 5.7740
Se Si Pb
2 1 1
Cartesian
-10.8344 17.2794 9.7613
-1.1181 1.7833 1.0074
0.0000 0.0000 0.0000
-5.9763 9.5313 5.3844
```

Values from the calculation:
Crystal system   trigonal
SG   R-3m (166)
DOS at the Fermi energy   1.64 states/eV/cell
V   128.1 Å³ per cell
M_tot   0.00 μB/f.u.
Energy above the lowest structure with this stoichiometry   391 meV/atom
E_form (uncorrected)   0.161 eV/atom